Record 1
! Li8Ag2Bi, optimized geometry, DFT PBE; values from VASP
&SYSTEM
  ibrav = 0, nat = 11, ntyp = 3
/
ATOMIC_SPECIES
Li 6.94 Li.upf
Ag 107.87 Ag.upf
Bi 208.98 Bi.upf
CELL_PARAMETERS angstrom
3.8919 -6.1667 0.0000
3.8919 6.1667 0.0000
-1.4449 0.0000 4.4761
ATOMIC_POSITIONS angstrom
Li 0.6267 1.4483 2.6513
Li 3.8919 3.3422 0.0000
Li 0.6267 -1.4483 2.6513
Li 2.7007 0.0000 0.7755
Li 3.6381 0.0000 3.7006
Li 5.7120 1.4483 1.8248
Li 3.8919 -3.3422 0.0000
Li 5.7120 -1.4483 1.8248
Ag 3.1694 2.2119 2.2380
Ag 3.1694 -2.2119 2.2380
Bi 0.0000 0.0000 0.0000
! Uncorrected energy   -2.469 eV per atom
! Energy of formation from the pure elements   -19.9 kJ per mole of atoms
! Calculated volume   214.8 Å³/f.u.
! Space group   C2/m (12)
! Density   3.712 Mg/m³


Record 2
! BaTb2N, optimized geometry, DFT PBE; values from VASP
&SYSTEM
  ibrav = 0, nat = 4, ntyp = 3
/
ATOMIC_SPECIES
Ba 137.33 Ba.upf
Tb 158.93 Tb.upf
N 14.01 N.upf
CELL_PARAMETERS angstrom
1.7837 1.0298 10.0402
-1.7837 1.0298 10.0402
0.0000 -2.0596 10.0402
ATOMIC_POSITIONS angstrom
Ba 0.0000 0.0000 0.0000
Tb 0.0000 0.0000 3.6988
Tb 0.0000 0.0000 26.4219
N 0.0000 0.0000 15.0604
! Uncorrected energy   -5.478 eV per atom
! Raw formation energy   -0.601 eV/atom
! Calculated volume   110.7 Å³/f.u.
! Space group   R-3m (166)
! Density   7.041 Mg/m³


Record 3
! CeGdYEr, optimized geometry, DFT PBE; values from VASP
&SYSTEM
  ibrav = 0, nat = 4, ntyp = 4
/
ATOMIC_SPECIES
Ce 140.12 Ce.upf
Gd 157.25 Gd.upf
Y 88.91 Y.upf
Er 167.26 Er.upf
CELL_PARAMETERS angstrom
0.0000 4.0060 4.0060
4.0060 0.0000 4.0060
4.0060 4.0060 0.0000
ATOMIC_POSITIONS angstrom
Ce 0.0000 0.0000 0.0000
Gd 4.0060 4.0060 4.0060
Y 6.0090 6.0090 6.0090
Er 2.0030 2.0030 2.0030
! Uncorrected energy   -7.602 eV per atom
! Energy of formation from the pure elements   15.3 kJ per mole of atoms
! Calculated volume   128.6 Å³/f.u.
! Space group   F-43m (216)
! Density   7.149 Mg/m³


Record 4
! Pr2U3S8, optimized geometry, DFT PBE; values from VASP
&SYSTEM
  ibrav = 0, nat = 13, ntyp = 3
/
ATOMIC_SPECIES
Pr 140.91 Pr.upf
U 238.03 U.upf
S 32.06 S.upf
CELL_PARAMETERS angstrom
7.1230 -3.9995 0.0000
7.1230 3.9995 0.0000
-2.2195 0.0000 6.3030
ATOMIC_POSITIONS angstrom
Pr 2.9937 0.0000 1.0272
Pr 9.0329 0.0000 5.2758
U 6.0133 2.0543 3.1515
U 7.1230 0.0000 0.0000
U 6.0133 -2.0543 3.1515
S 0.6818 0.0000 2.6774
S 5.1912 1.8423 0.5527
S 4.2219 0.0000 3.6529
S 6.8354 1.8423 5.7502
S 5.1912 -1.8423 0.5527
S 7.8047 0.0000 2.6500
S 6.8354 -1.8423 5.7502
S 11.3448 0.0000 3.6256
! Uncorrected energy   -7.468 eV per atom
! Raw formation energy   -1.588 eV/atom
! Calculated volume   359.1 Å³/f.u.
! Space group   C2/m (12)
! Density   5.791 Mg/m³